[1]
# BeV2Bi

Crystalline BeV2Bi at its relaxed geometry (PBE-GGA, Alexandria via LeMat-Bulk).

Output
- energy above the lowest structure with this stoichiometry (meV/atom) = 80
- space group = No. 122
- ΔE_f (eV/atom) = 0.72
- N(E_F) (states/eV/f.u.) = 4.9

Lattice parameters (Å, degrees): 9.9792 9.9792 9.9792 158.60 158.60 30.44
Fractional coordinates of all 8 atoms:
Be1 0.0000 0.0000 0.0000
Be2 0.7500 0.2500 0.5000
V1 0.1014 0.6250 0.9764
V2 0.3750 0.3514 0.4764
V3 0.6486 0.1250 0.0236
V4 0.8750 0.8986 0.5236
Bi1 0.2500 0.7500 0.5000
Bi2 0.5000 0.5000 0.0000

=====

[2]
# BeV3Bi

Crystalline BeV3Bi at its relaxed geometry (PBE-GGA, Alexandria via LeMat-Bulk).

Output
- energy above the lowest structure with this stoichiometry (meV/atom) = 1479
- space group = No. 221
- ΔE_f (eV/atom) = 2.01
- N(E_F) (states/eV/f.u.) = 10.0

Lattice parameters (Å, degrees): 5.1512 5.1512 5.1512 90.00 90.00 90.00
Fractional coordinates of all 5 atoms:
Be1 0.0000 0.0000 0.0000
V1 0.0000 0.5000 0.5000
V2 0.5000 0.0000 0.5000
V3 0.5000 0.5000 0.0000
Bi1 0.5000 0.5000 0.5000

=====

[3]
# BeV3Bi

Crystalline BeV3Bi at its relaxed geometry (PBE-GGA, Alexandria via LeMat-Bulk).

Output
- energy above the lowest structure with this stoichiometry (meV/atom) = 0
- space group = No. 221
- ΔE_f (eV/atom) = 0.53
- N(E_F) (states/eV/f.u.) = 5.9

Lattice parameters (Å, degrees): 4.2511 4.2511 4.2511 90.00 90.00 90.00
Fractional coordinates of all 5 atoms:
Be1 0.0000 0.0000 0.0000
V1 0.0000 0.0000 0.5000
V2 0.0000 0.5000 0.0000
V3 0.5000 0.0000 0.0000
Bi1 0.5000 0.5000 0.5000

=====

[4]
# BeV2Bi2

Crystalline BeV2Bi2 at its relaxed geometry (PBE-GGA, Alexandria via LeMat-Bulk).

Output
- energy above the lowest structure with this stoichiometry (meV/atom) = 0
- space group = No. 127
- ΔE_f (eV/atom) = 0.53
- N(E_F) (states/eV/f.u.) = 4.5

Lattice parameters (Å, degrees): 6.7083 6.7083 4.1704 90.00 90.00 90.00
Fractional coordinates of all 10 atoms:
Be1 0.0000 0.0000 0.0000
Be2 0.5000 0.5000 0.0000
V1 0.1403 0.3597 0.0000
V2 0.3597 0.8597 0.0000
V3 0.6403 0.1403 0.0000
V4 0.8597 0.6403 0.0000
Bi1 0.1707 0.6707 0.5000
Bi2 0.3293 0.1707 0.5000
Bi3 0.6707 0.8293 0.5000
Bi4 0.8293 0.3293 0.5000

=====

[5]
# BeV2Bi

Crystalline BeV2Bi at its relaxed geometry (PBE-GGA, Alexandria via LeMat-Bulk).

Output
- energy above the lowest structure with this stoichiometry (meV/atom) = 0
- space group = No. 225
- ΔE_f (eV/atom) = 0.64
- N(E_F) (states/eV/f.u.) = 4.1

Lattice parameters (Å, degrees): 4.4487 4.4487 4.4487 60.00 60.00 60.00
Fractional coordinates of all 4 atoms:
Be1 0.0000 0.0000 0.0000
V1 0.2500 0.2500 0.2500
V2 0.7500 0.7500 0.7500
Bi1 0.5000 0.5000 0.5000

=====

[6]
# Be2VBi

Crystalline Be2VBi at its relaxed geometry (PBE-GGA, Alexandria via LeMat-Bulk).

Output
- energy above the lowest structure with this stoichiometry (meV/atom) = 4
- space group = No. 122
- ΔE_f (eV/atom) = 0.85
- N(E_F) (states/eV/f.u.) = 1.4

Lattice parameters (Å, degrees): 5.5844 5.5844 5.5844 102.90 102.90 123.61
Fractional coordinates of all 8 atoms:
Be1 0.1005 0.6250 0.9755
Be2 0.3750 0.3505 0.4755
Be3 0.6495 0.1250 0.0245
Be4 0.8750 0.8995 0.5245
V1 0.0000 0.0000 0.0000
V2 0.7500 0.2500 0.5000
Bi1 0.2500 0.7500 0.5000
Bi2 0.5000 0.5000 0.0000

=====

[7]
# BeBi3W

Crystalline BeBi3W at its relaxed geometry (PBE-GGA, Alexandria via LeMat-Bulk).

Output
- energy above the lowest structure with this stoichiometry (meV/atom) = 0
- space group = No. 221
- ΔE_f (eV/atom) = 1.24
- N(E_F) (states/eV/f.u.) = 5.4

Lattice parameters (Å, degrees): 5.4052 5.4052 5.4052 90.00 90.00 90.00
Fractional coordinates of all 5 atoms:
Be1 0.0000 0.0000 0.0000
Bi1 0.0000 0.5000 0.5000
Bi2 0.5000 0.0000 0.5000
Bi3 0.5000 0.5000 0.0000
W1 0.5000 0.5000 0.5000

=====

[8]
# BeBi2W

Crystalline BeBi2W at its relaxed geometry (PBE-GGA, Alexandria via LeMat-Bulk).

Output
- space group = No. 122
- ΔE_f (eV/atom) = 1.22
- N(E_F) (states/eV/f.u.) = 1.6

Lattice parameters (Å, degrees): 7.5086 7.5086 7.5086 131.39 131.39 71.20
Fractional coordinates of all 8 atoms:
Be1 0.0000 0.0000 0.0000
Be2 0.7500 0.2500 0.5000
Bi1 0.0964 0.6250 0.9714
Bi2 0.3750 0.3464 0.4714
Bi3 0.6536 0.1250 0.0286
Bi4 0.8750 0.9036 0.5286
W1 0.2500 0.7500 0.5000
W2 0.5000 0.5000 0.0000

=====

[9]
# BeBi3W

Crystalline BeBi3W at its relaxed geometry (PBE-GGA, Alexandria via LeMat-Bulk).

Output
- energy above the lowest structure with this stoichiometry (meV/atom) = 96
- space group = No. 221
- ΔE_f (eV/atom) = 1.34
- N(E_F) (states/eV/f.u.) = 4.2

Lattice parameters (Å, degrees): 5.0387 5.0387 5.0387 90.00 90.00 90.00
Fractional coordinates of all 5 atoms:
Be1 0.0000 0.0000 0.0000
Bi1 0.0000 0.0000 0.5000
Bi2 0.0000 0.5000 0.0000
Bi3 0.5000 0.0000 0.0000
W1 0.5000 0.5000 0.5000

=====

[10]
# Be2BiW

Crystalline Be2BiW at its relaxed geometry (PBE-GGA, Alexandria via LeMat-Bulk).

Output
- space group = No. 122
- ΔE_f (eV/atom) = 1.11
- N(E_F) (states/eV/f.u.) = 3.1

Lattice parameters (Å, degrees): 5.6062 5.6062 5.6062 104.71 104.71 119.49
Fractional coordinates of all 8 atoms:
Be1 0.0970 0.6250 0.9720
Be2 0.3750 0.3470 0.4720
Be3 0.6530 0.1250 0.0280
Be4 0.8750 0.9030 0.5280
Bi1 0.2500 0.7500 0.5000
Bi2 0.5000 0.5000 0.0000
W1 0.0000 0.0000 0.0000
W2 0.7500 0.2500 0.5000

=====

[11]
# YBeBi

Crystalline YBeBi at its relaxed geometry (PBE-GGA, Alexandria via LeMat-Bulk).

Output
- space group = No. 63
- ΔE_f (eV/atom) = -0.04
- N(E_F) (states/eV/f.u.) = 1.8

Lattice parameters (Å, degrees): 8.0938 8.0938 4.2203 90.00 90.00 146.85
Fractional coordinates of all 6 atoms:
Y1 0.0882 0.9118 0.7500
Y2 0.9118 0.0882 0.2500
Be1 0.4780 0.5220 0.7500
Be2 0.5220 0.4780 0.2500
Bi1 0.2552 0.7448 0.2500
Bi2 0.7448 0.2552 0.7500

=====

[12]
# YBeBi3

Crystalline YBeBi3 at its relaxed geometry (PBE-GGA, Alexandria via LeMat-Bulk).

Output
- energy above the lowest structure with this stoichiometry (meV/atom) = 0
- space group = No. 221
- ΔE_f (eV/atom) = 0.18
- N(E_F) (states/eV/f.u.) = 4.5

Lattice parameters (Å, degrees): 5.1883 5.1883 5.1883 90.00 90.00 90.00
Fractional coordinates of all 5 atoms:
Y1 0.0000 0.0000 0.0000
Be1 0.5000 0.5000 0.5000
Bi1 0.0000 0.5000 0.5000
Bi2 0.5000 0.0000 0.5000
Bi3 0.5000 0.5000 0.0000

=====

[13]
# Y2BeBi2

Crystalline Y2BeBi2 at its relaxed geometry (PBE-GGA, Alexandria via LeMat-Bulk).

Output
- space group = No. 127
- ΔE_f (eV/atom) = -0.20
- N(E_F) (states/eV/f.u.) = 0.4

Lattice parameters (Å, degrees): 7.8140 7.8140 4.3936 90.00 90.00 90.00
Fractional coordinates of all 10 atoms:
Y1 0.1566 0.3434 0.0000
Y2 0.3434 0.8434 0.0000
Y3 0.6566 0.1566 0.0000
Y4 0.8434 0.6566 0.0000
Be1 0.0000 0.0000 0.5000
Be2 0.5000 0.5000 0.5000
Bi1 0.1571 0.6571 0.5000
Bi2 0.3429 0.1571 0.5000
Bi3 0.6571 0.8429 0.5000
Bi4 0.8429 0.3429 0.5000

=====

[14]
# YBe2Bi

Crystalline YBe2Bi at its relaxed geometry (PBE-GGA, Alexandria via LeMat-Bulk).

Output
- space group = No. 122
- ΔE_f (eV/atom) = 0.38
- N(E_F) (states/eV/f.u.) = 1.2

Lattice parameters (Å, degrees): 6.1020 6.1020 6.1020 104.18 104.18 120.67
Fractional coordinates of all 8 atoms:
Y1 0.0000 0.0000 0.0000
Y2 0.7500 0.2500 0.5000
Be1 0.1602 0.6250 0.0352
Be2 0.3750 0.4102 0.5352
Be3 0.5898 0.1250 0.9648
Be4 0.8750 0.8398 0.4648
Bi1 0.2500 0.7500 0.5000
Bi2 0.5000 0.5000 0.0000

=====

[15]
# YBeBi2

Crystalline YBeBi2 at its relaxed geometry (PBE-GGA, Alexandria via LeMat-Bulk).

Output
- space group = No. 122
- ΔE_f (eV/atom) = -0.12
- N(E_F) (states/eV/f.u.) = 1.5

Lattice parameters (Å, degrees): 6.4859 6.4859 6.4859 108.19 108.19 112.07
Fractional coordinates of all 8 atoms:
Y1 0.0000 0.0000 0.0000
Y2 0.7500 0.2500 0.5000
Be1 0.2500 0.7500 0.5000
Be2 0.5000 0.5000 0.0000
Bi1 0.1915 0.6250 0.0665
Bi2 0.3750 0.4415 0.5665
Bi3 0.5585 0.1250 0.9335
Bi4 0.8750 0.8085 0.4335

=====

[16]
# Y2BeBi

Crystalline Y2BeBi at its relaxed geometry (PBE-GGA, Alexandria via LeMat-Bulk).

Output
- energy above the lowest structure with this stoichiometry (meV/atom) = 0
- space group = No. 225
- ΔE_f (eV/atom) = -0.11
- N(E_F) (states/eV/f.u.) = 3.9

Lattice parameters (Å, degrees): 5.2229 5.2229 5.2229 60.00 60.00 60.00
Fractional coordinates of all 4 atoms:
Y1 0.2500 0.2500 0.2500
Y2 0.7500 0.7500 0.7500
Be1 0.0000 0.0000 0.0000
Bi1 0.5000 0.5000 0.5000

=====

[17]
# Y2Be2Bi

Crystalline Y2Be2Bi at its relaxed geometry (PBE-GGA, Alexandria via LeMat-Bulk).

Output
- space group = No. 127
- ΔE_f (eV/atom) = -0.23
- N(E_F) (states/eV/f.u.) = 4.2

Lattice parameters (Å, degrees): 6.9994 6.9994 4.3006 90.00 90.00 90.00
Fractional coordinates of all 10 atoms:
Y1 0.1687 0.3313 0.0000
Y2 0.3313 0.8313 0.0000
Y3 0.6687 0.1687 0.0000
Y4 0.8313 0.6687 0.0000
Be1 0.1091 0.6091 0.5000
Be2 0.3909 0.1091 0.5000
Be3 0.6091 0.8909 0.5000
Be4 0.8909 0.3909 0.5000
Bi1 0.0000 0.0000 0.5000
Bi2 0.5000 0.5000 0.5000

=====

[18]
# YBe2Bi2

Crystalline YBe2Bi2 at its relaxed geometry (PBE-GGA, Alexandria via LeMat-Bulk).

Output
- space group = No. 139
- ΔE_f (eV/atom) = 0.15
- N(E_F) (states/eV/f.u.) = 2.4

Lattice parameters (Å, degrees): 7.6606 7.6606 7.6606 149.96 149.96 42.99
Fractional coordinates of all 5 atoms:
Y1 0.0000 0.0000 0.0000
Be1 0.2500 0.7500 0.5000
Be2 0.7500 0.2500 0.5000
Bi1 0.3712 0.3712 0.0000
Bi2 0.6288 0.6288 0.0000

=====

[19]
# Y2BeBi

Crystalline Y2BeBi at its relaxed geometry (PBE-GGA, Alexandria via LeMat-Bulk).

Output
- energy above the lowest structure with this stoichiometry (meV/atom) = 98
- space group = No. 122
- ΔE_f (eV/atom) = -0.01
- N(E_F) (states/eV/f.u.) = 4.5

Lattice parameters (Å, degrees): 6.5475 6.5475 6.5475 106.28 106.28 116.06
Fractional coordinates of all 8 atoms:
Y1 0.0861 0.6250 0.9611
Y2 0.3750 0.3361 0.4611
Y3 0.6639 0.1250 0.0389
Y4 0.8750 0.9139 0.5389
Be1 0.0000 0.0000 0.0000
Be2 0.7500 0.2500 0.5000
Bi1 0.2500 0.7500 0.5000
Bi2 0.5000 0.5000 0.0000

=====

[20]
# YBeBi3

Crystalline YBeBi3 at its relaxed geometry (PBE-GGA, Alexandria via LeMat-Bulk).

Output
- energy above the lowest structure with this stoichiometry (meV/atom) = 704
- space group = No. 221
- ΔE_f (eV/atom) = 0.88
- N(E_F) (states/eV/f.u.) = 4.5

Lattice parameters (Å, degrees): 5.8775 5.8775 5.8775 90.00 90.00 90.00
Fractional coordinates of all 5 atoms:
Y1 0.0000 0.0000 0.0000
Be1 0.5000 0.5000 0.5000
Bi1 0.0000 0.0000 0.5000
Bi2 0.0000 0.5000 0.0000
Bi3 0.5000 0.0000 0.0000